DFT (PBE-GGA) results for a relaxed structure of CuBrCl2.

Energy relative to the elements, uncorrected in eV per atom: -0.06

Cell lengths 2.880, 3.420, 11.125 Å; angles 90.00, 90.00, 90.00 degrees
Space group Pmm2 (No. 25)
One atom of each set of equivalent atoms:
Cu: 0.000 0.000 0.000 (multiplicity 1)
Br: 0.500 0.500 0.544 (multiplicity 1)
Cl: 0.000 0.000 0.198 (multiplicity 1)
Cl: 0.500 0.500 0.914 (multiplicity 1)

***

DFT (PBE-GGA) results for a relaxed structure of RbY3Cr.

Calculated formation energy in eV per atom: 0.530

Cell lengths 5.605, 5.605, 5.605 Å; angles 90.00, 90.00, 90.00 degrees
Space group Pm-3m (No. 221)
One atom of each set of equivalent atoms:
Rb: 0.000 0.000 0.000 (multiplicity 1)
Y: 0.000 0.500 0.500 (multiplicity 3)
Cr: 0.500 0.500 0.500 (multiplicity 1)

***

no.,density of states at the Fermi level (states/eV per atom),ΔE to the lowest computed polymorph (meV per atom)
1,1.25,193
2,0.32,0